(1)
VASP calculation (meta-GGA SCAN) on a PBEsol-optimized structure of KAgAu2.

Geometry as extended XYZ:
```
16
Lattice="6.927 0.000 0.000 0.000 6.927 0.000 0.000 0.000 6.927" Properties=species:S:1:pos:R:3 pbc="T T T"
K 0.000 0.000 0.000
K 0.000 3.463 3.463
K 3.463 0.000 3.463
K 3.463 3.463 0.000
Ag 0.000 0.000 3.463
Ag 0.000 3.463 0.000
Ag 3.463 0.000 0.000
Ag 3.463 3.463 3.463
Au 1.732 1.732 1.732
Au 1.732 1.732 5.195
Au 1.732 5.195 1.732
Au 1.732 5.195 5.195
Au 5.195 1.732 1.732
Au 5.195 1.732 5.195
Au 5.195 5.195 1.732
Au 5.195 5.195 5.195
```

* ΔE_f: 9.2 kJ per mole of atoms
* crystal system: cubic

---

(2)
VASP calculation (meta-GGA SCAN) on a PBEsol-optimized structure of TcRuAu3.

Geometry as extended XYZ:
```
5
Lattice="4.862 0.000 0.000 0.000 4.862 0.000 0.000 0.000 4.862" Properties=species:S:1:pos:R:3 pbc="T T T"
Tc 0.000 0.000 0.000
Ru 2.431 2.431 2.431
Au 0.000 2.431 2.431
Au 2.431 0.000 2.431
Au 2.431 2.431 0.000
```

* ΔE_f: 146.1 kJ per mole of atoms
* crystal system: cubic

---

(3)
VASP calculation (meta-GGA SCAN) on a PBEsol-optimized structure of Ti4V.

Geometry as extended XYZ:
```
5
Lattice="0.000 2.272 11.285 1.532 0.000 11.285 1.532 2.272 0.000" Properties=species:S:1:pos:R:3 pbc="T T T"
Ti 1.532 2.272 2.065
Ti 1.532 2.272 6.797
Ti 1.532 2.272 15.773
Ti 1.532 2.272 20.505
V 1.532 2.272 11.285
```

* ΔE_f: 13.5 kJ per mole of atoms
* crystal system: orthorhombic

---

(4)
VASP calculation (meta-GGA SCAN) on a PBEsol-optimized structure of AsIr2Pb.

Geometry as extended XYZ:
```
8
Lattice="5.870 0.000 0.000 0.000 9.234 0.000 -1.476 0.000 2.559" Properties=species:S:1:pos:R:3 pbc="T T T"
As 0.000 0.000 0.000
As 2.935 4.617 0.000
Ir 1.468 2.308 0.000
Ir 1.468 6.925 0.000
Ir 4.403 2.308 0.000
Ir 4.403 6.925 0.000
Pb 0.000 4.617 0.000
Pb 2.935 0.000 0.000
```

* ΔE_f: 73.4 kJ per mole of atoms
* crystal system: monoclinic

---

(5)
VASP calculation (meta-GGA SCAN) on a PBEsol-optimized structure of NdAl10Os2.

Geometry as extended XYZ:
```
26
Lattice="4.546 -5.111 0.000 4.546 5.111 0.000 0.000 0.000 9.128" Properties=species:S:1:pos:R:3 pbc="T T T"
Nd 4.546 3.815 6.846
Nd 4.546 -3.815 2.282
Al 2.521 1.376 6.846
Al 4.546 3.482 0.926
Al 4.546 3.482 3.638
Al 3.183 1.344 2.282
Al 2.046 0.000 0.000
Al 2.046 0.000 4.564
Al 4.546 1.254 5.016
Al 4.546 1.254 8.676
Al 2.521 -1.376 2.282
Al 3.183 -1.344 6.846
Al 5.910 1.344 2.282
Al 6.571 1.376 6.846
Al 4.546 -1.254 0.452
Al 4.546 -1.254 4.112
Al 7.046 0.000 0.000
Al 7.046 0.000 4.564
Al 5.910 -1.344 6.846
Al 4.546 -3.482 5.491
Al 4.546 -3.482 8.202
Al 6.571 -1.376 2.282
Os 2.273 2.556 0.000
Os 2.273 2.556 4.564
Os 2.273 -2.556 0.000
Os 2.273 -2.556 4.564
```

* ΔE_f: -53.6 kJ per mole of atoms
* crystal system: orthorhombic

---

(6)
VASP calculation (meta-GGA SCAN) on a PBEsol-optimized structure of Cr2AgRh.

Geometry as extended XYZ:
```
8
Lattice="5.198 0.000 0.000 0.000 7.673 0.000 0.000 0.000 2.615" Properties=species:S:1:pos:R:3 pbc="T T T"
Cr 1.299 1.918 0.000
Cr 1.299 5.755 0.000
Cr 3.898 1.918 0.000
Cr 3.898 5.755 0.000
Ag 0.000 0.000 1.308
Ag 2.599 3.837 1.308
Rh 0.000 3.837 1.308
Rh 2.599 0.000 1.308
```

* ΔE_f: 44.6 kJ per mole of atoms
* crystal system: orthorhombic

---

(7)
VASP calculation (meta-GGA SCAN) on a PBEsol-optimized structure of CsCdInAg2.

Geometry as extended XYZ:
```
5
Lattice="5.298 0.000 0.000 0.000 5.298 0.000 0.000 0.000 6.495" Properties=species:S:1:pos:R:3 pbc="T T T"
Cs 0.000 0.000 0.000
Cd 2.649 2.649 0.000
In 0.000 0.000 3.248
Ag 0.000 2.649 3.248
Ag 2.649 0.000 3.248
```

* ΔE_f: 40.2 kJ per mole of atoms
* crystal system: tetragonal

---

(8)
VASP calculation (meta-GGA SCAN) on a PBEsol-optimized structure of YCu4Rh.

Geometry as extended XYZ:
```
6
Lattice="0.000 3.461 3.461 3.461 0.000 3.461 3.461 3.461 0.000" Properties=species:S:1:pos:R:3 pbc="T T T"
Y 0.000 0.000 0.000
Cu 4.319 2.603 2.603
Cu 2.603 4.319 2.603
Cu 2.603 2.603 4.319
Cu 4.319 4.319 4.319
Rh 1.731 1.731 1.731
```

* ΔE_f: -26.9 kJ per mole of atoms
* crystal system: cubic